Record 1
# NpReSi2 (PBE, relaxed)
data_NpReSi2
_cell_length_a 3.081
_cell_length_b 3.081
_cell_length_c 6.908
_cell_angle_alpha 90.00
_cell_angle_beta 90.00
_cell_angle_gamma 90.00
_space_group_name_H-M_alt 'P 4/m m m'
_space_group_IT_number 123
_space_group_name_Hall '-P 4 2'
loop_
_atom_site_label
_atom_site_fract_x
_atom_site_fract_y
_atom_site_fract_z
_atom_site_occupancy
Np1 0.000 0.000 0.000 1
Re1 0.000 0.000 0.500 1
Si1 0.500 0.500 0.304 1
# Uncorrected formation energy = -0.60 eV per formula unit



Record 2
# Ce3ZnRh4 (PBE, relaxed)
data_Ce3ZnRh4
_cell_length_a 5.759
_cell_length_b 9.243
_cell_length_c 5.860
_cell_angle_alpha 90.00
_cell_angle_beta 90.00
_cell_angle_gamma 90.00
_space_group_name_H-M_alt 'I m m 2'
_space_group_IT_number 44
loop_
_space_group_symop_operation_xyz
'x,y,z'
'-x,-y,z'
'-x,y,z'
'x,-y,z'
'x+1/2,y+1/2,z+1/2'
'-x+1/2,-y+1/2,z+1/2'
'-x+1/2,y+1/2,z+1/2'
'x+1/2,-y+1/2,z+1/2'
loop_
_atom_site_label
_atom_site_fract_x
_atom_site_fract_y
_atom_site_fract_z
_atom_site_occupancy
Ce1 0.000 0.000 0.000 1
Ce2 0.000 0.293 0.251 1
Zn1 0.000 0.500 0.651 1
Rh1 0.000 0.234 0.750 1
Rh2 0.241 0.000 0.503 1
# Energy relative to the elements = -563 meV/atom